Compound: Nd4B2Cl5
Source: Alexandria
Functional: PBE-GGA
Structure: optimized geometry

Calculated values
Magnetization ... 0.0 μB per cell
D(E_F) ... 3.414 states/eV/f.u.
Formation energy from raw total energies ... -1478 meV/atom

Cell: 3.9978 7.8789 18.3885 Å, 90.00 90.00 90.00°
Space group Immm (No. 71)
Inequivalent atoms, fractional coordinates:
1 Nd 0.0000 0.0000 0.1727 x4
2 Nd 0.0000 0.2851 0.5000 x4
3 B 0.0000 0.0000 0.0428 x4
4 Cl 0.0000 0.2419 0.3306 x8
5 Cl 0.0000 0.5000 0.0000 x2